A plane-wave DFT calculation with PBE was carried out for crystalline Pm5Bi2O12 at its relaxed geometry.

Cell lengths 6.319, 7.217, 7.719 Å; angles 105.68, 90.00, 115.96 degrees
Sites, in units of the cell vectors:
O1 0.498 0.997 0.198
O2 0.502 0.003 0.802
O3 0.445 0.345 0.090
O4 0.095 0.691 0.427
O5 0.596 0.691 0.427
O6 0.905 0.309 0.573
O7 0.100 0.655 0.910
O8 0.555 0.655 0.910
O9 0.404 0.309 0.573
O10 0.001 0.001 0.804
O11 0.999 0.999 0.196
O12 0.900 0.345 0.090
Bi1 0.246 0.000 0.000
Bi2 0.754 0.000 0.000
Pm1 0.703 0.407 0.366
Pm2 0.000 0.000 0.500
Pm3 0.305 0.609 0.174
Pm4 0.695 0.391 0.826
Pm5 0.297 0.593 0.634

As for the space-group type: C2/m. The value obtained for the total moment is 0.00 μB/f.u. The calculation puts the uncorrected formation energy at -2.551 eV per atom.


A plane-wave DFT calculation with PBE was carried out for crystalline Pm5Bi5O2 at its relaxed geometry.

Cell lengths 4.114, 7.503, 11.333 Å; angles 98.87, 90.00, 105.91 degrees
Sites, in units of the cell vectors:
Pm1 0.362 0.725 0.201
Pm2 0.638 0.275 0.799
Pm3 0.084 0.168 0.324
Pm4 0.916 0.832 0.676
Pm5 0.000 0.000 0.000
Bi1 0.500 0.000 0.500
Bi2 0.335 0.669 0.891
Bi3 0.234 0.468 0.605
Bi4 0.665 0.331 0.109
Bi5 0.766 0.532 0.395
O1 0.058 0.115 0.812
O2 0.942 0.885 0.188

As for the space-group type: C2/m. The value obtained for the total moment is 0.00 μB/f.u. The calculation puts the uncorrected formation energy at -1.403 eV per atom.


A plane-wave DFT calculation with PBE was carried out for crystalline Pm5Bi2O at its relaxed geometry.

Cell lengths 5.077, 8.331, 14.448 Å; angles 90.00, 90.00, 107.74 degrees
Sites, in units of the cell vectors:
Pm1 0.304 0.609 0.026
Pm2 0.279 0.558 0.750
Pm3 0.721 0.442 0.250
Pm4 0.911 0.821 0.616
Pm5 0.696 0.391 0.974
Pm6 0.696 0.391 0.526
Pm7 0.089 0.179 0.116
Pm8 0.089 0.179 0.384
Pm9 0.304 0.609 0.474
Pm10 0.911 0.821 0.884
O1 0.840 0.680 0.750
O2 0.160 0.320 0.250
Bi1 0.114 0.228 0.613
Bi2 0.114 0.228 0.887
Bi3 0.886 0.772 0.387
Bi4 0.886 0.772 0.113

As for the space-group type: Cmcm. The value obtained for the total moment is 0.00 μB/f.u. The calculation puts the uncorrected formation energy at -0.751 eV per atom.


What is the formula in the second record?
Pm5Bi5O2


total moment of number 2 (Pm5Bi5O2)?
0.00 μB/f.u.


What is the total moment in the second record?
0.00 μB/f.u.